(1)
This record from the Alexandria database describes a relaxed structure of Cu2ReNiSe. The functional is PBE.

Properties
Space group: P4/mmm, No. 123
Raw formation energy (eV/f.u.): 5.8

POSCAR file:
```
Cu2ReNiSe
1.0
-2.714 3.360 -0.783
-1.221 -1.889 -3.874
-3.236 -2.134 2.060
Re Cu Se Ni
1 2 1 1
direct
0.000 0.500 0.000
0.000 0.000 0.500
0.500 0.000 0.000
0.500 0.500 0.500
0.000 0.000 0.000
```

***

(2)
This record from the Alexandria database describes a relaxed structure of SrCu2ReNi. The functional is PBE.

Properties
Space group: P4/mmm, No. 123
Total energy (eV/atom): -3.239

POSCAR file:
```
SrCu2ReNi
1.0
-1.424 3.842 -2.288
-3.900 -1.978 -0.894
-1.784 1.714 3.988
Re Ni Cu Sr
1 1 2 1
direct
0.500 0.500 0.500
0.000 0.500 0.000
0.000 0.000 0.500
0.500 0.000 0.000
0.000 0.000 0.000
```

***

(3)
This record from the Alexandria database describes a relaxed structure of CuRe2TcNi. The functional is PBE.

Properties
Space group: P4/mmm, No. 123
Total energy (eV/atom): -6.904

POSCAR file:
```
CuRe2TcNi
1.0
4.618 0.000 0.000
0.000 4.574 0.000
0.000 0.000 4.618
Re Tc Cu Ni
2 1 1 1
direct
0.000 0.000 0.500
0.500 0.000 0.000
0.000 0.000 0.000
0.000 0.500 0.000
0.500 0.500 0.500
```

***

(4)
This record from the Alexandria database describes a relaxed structure of TiCuRe2Ni. The functional is PBE.

Properties
Space group: P4/mmm, No. 123
Total energy (eV/atom): -7.327

POSCAR file:
```
TiCuRe2Ni
1.0
4.429 0.000 0.000
0.000 4.243 0.000
0.000 0.000 4.429
Re Ti Cu Ni
2 1 1 1
direct
0.000 0.000 0.500
0.500 0.000 0.000
0.500 0.500 0.500
0.000 0.500 0.000
0.000 0.000 0.000
```

***

(5)
This record from the Alexandria database describes a relaxed structure of TlCu2ReNi. The functional is PBE.

Properties
Space group: P4/mmm, No. 123
Total energy (eV/atom): -4.727

POSCAR file:
```
TlCu2ReNi
1.0
-2.105 3.414 -1.901
-1.244 -2.657 -3.395
-3.709 -1.066 2.193
Re Tl Cu Ni
1 1 2 1
direct
0.000 0.500 0.000
0.500 0.500 0.500
0.000 0.000 0.500
0.500 0.000 0.000
0.000 0.000 0.000
```

***

(6)
This record from the Alexandria database describes a relaxed structure of ZrCu2ReNi. The functional is PBE.

Properties
Space group: P4/mmm, No. 123
Total energy (eV/atom): -4.977

POSCAR file:
```
ZrCu2ReNi
1.0
4.749 0.000 0.000
0.000 4.730 0.000
0.000 0.000 4.749
Re Cu Zr Ni
1 2 1 1
direct
0.000 0.500 0.000
0.000 0.000 0.500
0.500 0.000 0.000
0.000 0.000 0.000
0.500 0.500 0.500
```

***

Question: Which formula does entry 2 have?
Answer: SrCu2ReNi